Entry from the Alexandria database: a relaxed ScCd2Ni crystal (GGA-PBE).

Structure (POSCAR):
```
ScCd2Ni
1.0
-0.966 -1.915 -2.453
3.055 -1.070 -0.368
-1.288 -5.265 4.618
Sc Ni Cd
1 1 2
Direct
0.500 0.500 0.702
0.000 0.000 0.515
0.000 0.000 0.998
0.500 0.500 0.284
```

Results
* raw total energy: -3.71 eV/atom